(1)
An optimized crystal structure of Ac4In2Ru, computed with PBE.

Unit cell a=5.570 b=5.570 c=9.403 alpha=107.23 beta=107.23 gamma=90.00
Fractional positions:
Ru: 0.000 0.000 0.000
Ac: 0.824 0.824 0.648
Ac: 0.176 0.176 0.352
Ac: 0.000 0.500 0.000
Ac: 0.500 0.000 0.000
In: 0.630 0.630 0.260
In: 0.370 0.370 0.740

For the formation energy, the calculation gives -0.222 eV per atom. As for the magnetic moment: 0.000 μB per cell. The calculation puts the total DFT energy (no corrections) at -4.678 eV/atom.

---

(2)
An optimized crystal structure of Ac6InRu, computed with PBE.

Unit cell a=7.027 b=8.628 c=7.060 alpha=52.34 beta=81.63 gamma=76.21
Fractional positions:
Ac: 0.783 0.559 0.637
Ac: 0.783 0.195 0.363
Ac: 0.217 0.805 0.637
Ac: 0.217 0.441 0.363
Ac: 0.636 0.786 0.000
Ac: 0.364 0.214 0.000
In: 0.000 0.000 0.000
Ru: 0.500 0.500 0.000

For the formation energy, the calculation gives -0.083 eV per atom. As for the magnetic moment: 0.000 μB per cell. The calculation puts the total DFT energy (no corrections) at -4.666 eV/atom.

---

(3)
An optimized crystal structure of Ac12In3Ru5, computed with PBE.

Unit cell a=15.780 b=15.780 c=15.780 alpha=109.47 beta=109.47 gamma=109.47
Fractional positions:
In: 0.750 0.375 0.125
In: 0.875 0.750 0.125
In: 0.375 0.750 0.625
In: 0.250 0.125 0.375
In: 0.875 0.125 0.250
In: 0.375 0.625 0.250
In: 0.625 0.375 0.750
In: 0.125 0.875 0.750
In: 0.750 0.875 0.625
In: 0.625 0.250 0.375
In: 0.125 0.250 0.875
In: 0.250 0.625 0.875
Ru: 0.125 0.375 0.250
Ru: 0.000 0.500 0.000
Ru: 0.000 0.000 0.000
Ru: 0.375 0.250 0.125
Ru: 0.500 0.000 0.500
Ru: 0.500 0.500 0.000
Ru: 0.125 0.750 0.375
Ru: 0.750 0.125 0.875
Ru: 0.750 0.625 0.375
Ru: 0.375 0.125 0.750
Ru: 0.625 0.875 0.250
Ru: 0.500 0.500 0.500
Ru: 0.500 0.000 0.000
Ru: 0.000 0.000 0.500
Ru: 0.250 0.375 0.625
Ru: 0.250 0.875 0.125
Ru: 0.000 0.500 0.500
Ru: 0.875 0.250 0.625
Ru: 0.625 0.750 0.875
Ru: 0.875 0.625 0.750
Ac: 0.705 0.120 0.025
Ac: 0.320 0.525 0.405
Ac: 0.975 0.380 0.295
Ac: 0.525 0.205 0.120
Ac: 0.585 0.705 0.680
Ac: 0.975 0.595 0.180
Ac: 0.320 0.795 0.415
Ac: 0.095 0.915 0.120
Ac: 0.595 0.975 0.680
Ac: 0.705 0.585 0.180
Ac: 0.795 0.475 0.380
Ac: 0.820 0.905 0.025
Ac: 0.120 0.705 0.525
Ac: 0.380 0.405 0.085
Ac: 0.085 0.905 0.380
Ac: 0.415 0.120 0.595
Ac: 0.085 0.180 0.205
Ac: 0.475 0.680 0.095
Ac: 0.820 0.915 0.295
Ac: 0.120 0.415 0.095
Ac: 0.380 0.975 0.795
Ac: 0.595 0.620 0.415
Ac: 0.905 0.820 0.525
Ac: 0.795 0.320 0.915
Ac: 0.405 0.380 0.585
Ac: 0.095 0.180 0.475
Ac: 0.205 0.680 0.085
Ac: 0.180 0.085 0.705
Ac: 0.620 0.025 0.205
Ac: 0.880 0.585 0.905
Ac: 0.525 0.320 0.905
Ac: 0.585 0.880 0.405
Ac: 0.915 0.820 0.795
Ac: 0.915 0.095 0.620
Ac: 0.880 0.295 0.475
Ac: 0.180 0.095 0.975
Ac: 0.620 0.595 0.915
Ac: 0.405 0.025 0.320
Ac: 0.295 0.415 0.820
Ac: 0.205 0.525 0.620
Ac: 0.905 0.085 0.880
Ac: 0.680 0.205 0.585
Ac: 0.475 0.795 0.880
Ac: 0.025 0.405 0.820
Ac: 0.415 0.295 0.320
Ac: 0.025 0.620 0.705
Ac: 0.680 0.475 0.595
Ac: 0.295 0.880 0.975

For the formation energy, the calculation gives -0.067 eV per atom. As for the magnetic moment: 0.000 μB per cell. The calculation puts the total DFT energy (no corrections) at -5.262 eV/atom.

---

(4)
An optimized crystal structure of Ac8InRu2, computed with PBE.

Unit cell a=6.937 b=8.173 c=8.173 alpha=67.10 beta=92.42 gamma=92.42
Fractional positions:
Ac: 0.179 0.428 0.867
Ac: 0.821 0.133 0.572
Ac: 0.396 0.870 0.870
Ac: 0.604 0.130 0.130
Ac: 0.179 0.867 0.428
Ac: 0.821 0.572 0.133
Ac: 0.694 0.618 0.618
Ac: 0.306 0.382 0.382
In: 0.000 0.000 0.000
Ru: 0.989 0.786 0.786
Ru: 0.011 0.214 0.214

For the formation energy, the calculation gives -0.113 eV per atom. As for the magnetic moment: 0.001 μB per cell. The calculation puts the total DFT energy (no corrections) at -5.037 eV/atom.

---

(5)
An optimized crystal structure of Ac4InRu2, computed with PBE.

Unit cell a=4.319 b=7.559 c=14.762 alpha=90.00 beta=90.00 gamma=106.60
Fractional positions:
Ac: 0.768 0.535 0.107
Ac: 0.768 0.535 0.393
Ac: 0.232 0.465 0.893
Ac: 0.232 0.465 0.607
Ac: 0.920 0.841 0.750
Ac: 0.080 0.159 0.250
Ac: 0.500 0.000 0.000
Ac: 0.500 0.000 0.500
In: 0.607 0.213 0.750
In: 0.393 0.787 0.250
Ru: 0.126 0.252 0.434
Ru: 0.874 0.748 0.934
Ru: 0.126 0.252 0.066
Ru: 0.874 0.748 0.566

For the formation energy, the calculation gives -0.183 eV per atom. As for the magnetic moment: 0.000 μB per cell. The calculation puts the total DFT energy (no corrections) at -5.572 eV/atom.

---

(6)
An optimized crystal structure of Ac2In2Ru, computed with PBE.

Unit cell a=4.000 b=6.739 c=12.076 alpha=87.96 beta=80.48 gamma=72.71
Fractional positions:
Ac: 0.269 0.822 0.640
Ac: 0.092 0.692 0.124
Ac: 0.731 0.178 0.360
Ac: 0.908 0.308 0.876
In: 0.975 0.643 0.406
In: 0.374 0.138 0.113
In: 0.025 0.357 0.594
In: 0.626 0.862 0.887
Ru: 0.427 0.854 0.291
Ru: 0.573 0.146 0.709

For the formation energy, the calculation gives -0.344 eV per atom. As for the magnetic moment: 0.000 μB per cell. The calculation puts the total DFT energy (no corrections) at -4.938 eV/atom.

---

(7)
An optimized crystal structure of Ac3In3Ru2, computed with PBE.

Unit cell a=4.197 b=6.420 c=17.761 alpha=90.00 beta=90.00 gamma=109.08
Fractional positions:
Ac: 0.939 0.878 0.398
Ac: 0.061 0.122 0.898
Ac: 0.939 0.878 0.102
Ac: 0.061 0.122 0.602
Ac: 0.676 0.352 0.250
Ac: 0.324 0.648 0.750
In: 0.665 0.330 0.462
In: 0.335 0.670 0.962
In: 0.665 0.330 0.038
In: 0.335 0.670 0.538
In: 0.390 0.780 0.250
In: 0.610 0.220 0.750
Ru: 0.748 0.496 0.879
Ru: 0.252 0.504 0.379
Ru: 0.748 0.496 0.621
Ru: 0.252 0.504 0.121

For the formation energy, the calculation gives -0.284 eV per atom. As for the magnetic moment: 0.000 μB per cell. The calculation puts the total DFT energy (no corrections) at -5.171 eV/atom.

---

(8)
An optimized crystal structure of AcIn4Ru, computed with PBE.

Unit cell a=4.493 b=7.715 c=8.629 alpha=90.00 beta=90.00 gamma=90.00
Fractional positions:
Ac: 0.000 0.610 0.750
Ac: 0.000 0.390 0.250
In: 0.000 0.000 0.500
In: 0.000 0.000 0.000
In: 0.500 0.951 0.750
In: 0.500 0.049 0.250
In: 0.500 0.691 0.065
In: 0.500 0.309 0.935
In: 0.500 0.691 0.435
In: 0.500 0.309 0.565
Ru: 0.000 0.198 0.750
Ru: 0.000 0.802 0.250

For the formation energy, the calculation gives -0.314 eV per atom. As for the magnetic moment: 0.000 μB per cell. The calculation puts the total DFT energy (no corrections) at -4.370 eV/atom.

---

(9)
An optimized crystal structure of AcTbInRu, computed with PBE.

Unit cell a=5.307 b=5.307 c=5.307 alpha=60.00 beta=60.00 gamma=60.00
Fractional positions:
Ru: 0.750 0.750 0.750
Ac: 0.000 0.000 0.000
Tb: 0.500 0.500 0.500
In: 0.250 0.250 0.250

For the formation energy, the calculation gives -0.133 eV per atom. As for the magnetic moment: 0.000 μB per cell. The calculation puts the total DFT energy (no corrections) at -5.321 eV/atom.

---

(10)
An optimized crystal structure of AcInS2, computed with PBE.

Unit cell a=3.831 b=5.017 c=5.017 alpha=90.00 beta=90.00 gamma=90.00
Fractional positions:
Ac: 0.500 0.500 0.500
S: 0.000 0.000 0.500
S: 0.000 0.500 0.000
In: 0.500 0.000 0.000

As for the magnetic moment: 0.000 μB per cell. The uncorrected formation energy comes out at -121.72 kJ/mol of atoms. The calculation puts the total DFT energy (no corrections) at -5.037 eV/atom.

---

(11)
An optimized crystal structure of AcInS2, computed with PBE.

Unit cell a=4.416 b=4.416 c=7.916 alpha=73.80 beta=73.80 gamma=60.00
Fractional positions:
Ac: 0.666 0.666 0.003
In: 0.493 0.493 0.522
S: 0.075 0.075 0.776
S: 0.267 0.267 0.198

As for the magnetic moment: 0.000 μB per cell. The uncorrected formation energy comes out at -132.60 kJ/mol of atoms. The calculation puts the total DFT energy (no corrections) at -5.150 eV/atom.

---

(12)
An optimized crystal structure of AcInS2, computed with PBE.

Unit cell a=3.964 b=3.964 c=8.967 alpha=77.23 beta=77.23 gamma=60.00
Fractional positions:
Ac: 0.000 0.000 0.000
S: 0.112 0.112 0.665
S: 0.888 0.888 0.335
In: 0.500 0.500 0.500

As for the magnetic moment: 0.000 μB per cell. The uncorrected formation energy comes out at -65.66 kJ/mol of atoms. The calculation puts the total DFT energy (no corrections) at -4.456 eV/atom.

---

(13)
An optimized crystal structure of Ac2InS5, computed with PBE.

Unit cell a=5.696 b=7.894 c=12.651 alpha=90.00 beta=90.00 gamma=111.15
Each line ends with the local moment (μB).
Fractional positions:
Ac: 0.853 0.705 0.433  0.01
Ac: 0.853 0.705 0.067  0.01
Ac: 0.147 0.295 0.567  0.01
Ac: 0.147 0.295 0.933  0.01
In: 0.806 0.611 0.750  0.00
In: 0.194 0.389 0.250  0.00
S: 0.956 0.913 0.865  0.12
S: 0.956 0.913 0.635  0.12
S: 0.301 0.601 0.412  0.00
S: 0.301 0.601 0.088  0.00
S: 0.727 0.454 0.250  0.04
S: 0.273 0.546 0.750  0.04
S: 0.699 0.399 0.588  0.00
S: 0.699 0.399 0.912  0.00
S: 0.044 0.087 0.135  0.12
S: 0.044 0.087 0.365  0.12

As for the magnetic moment: 1.018 μB per cell. The uncorrected formation energy comes out at -124.44 kJ/mol of atoms. The calculation puts the total DFT energy (no corrections) at -5.239 eV/atom.

---

(14)
An optimized crystal structure of AcInS3, computed with PBE.

Unit cell a=5.155 b=7.831 c=8.672 alpha=116.83 beta=107.24 gamma=90.10
Fractional positions:
Ac: 0.719 0.639 0.088
Ac: 0.368 0.288 0.385
In: 0.044 0.731 0.737
In: 0.043 0.196 0.737
S: 0.209 0.398 0.070
S: 0.211 0.863 0.070
S: 0.876 0.065 0.403
S: 0.544 0.685 0.737
S: 0.543 0.242 0.737
S: 0.877 0.529 0.403

As for the magnetic moment: 0.000 μB per cell. The uncorrected formation energy comes out at -112.14 kJ/mol of atoms. The calculation puts the total DFT energy (no corrections) at -5.008 eV/atom.

---

(15)
An optimized crystal structure of AcInS3, computed with PBE.

Unit cell a=4.283 b=8.095 c=8.276 alpha=84.78 beta=105.00 gamma=90.00
Fractional positions:
Ac: 0.680 0.291 0.360
Ac: 0.320 0.709 0.640
In: 0.904 0.148 0.808
In: 0.096 0.852 0.192
S: 0.940 0.828 0.880
S: 0.060 0.172 0.120
S: 0.310 0.106 0.620
S: 0.690 0.894 0.380
S: 0.154 0.545 0.307
S: 0.846 0.455 0.693

As for the magnetic moment: 0.000 μB per cell. The uncorrected formation energy comes out at -128.74 kJ/mol of atoms. The calculation puts the total DFT energy (no corrections) at -5.180 eV/atom.

---

(16)
An optimized crystal structure of Ac3InS6, computed with PBE.

Unit cell a=7.036 b=9.298 c=9.298 alpha=102.86 beta=90.00 gamma=90.00
Fractional positions:
Ac: 0.473 0.914 0.710
Ac: 0.973 0.710 0.914
Ac: 0.412 0.397 0.603
Ac: 0.912 0.603 0.397
Ac: 0.973 0.086 0.290
Ac: 0.473 0.290 0.086
In: 0.017 0.195 0.805
In: 0.517 0.805 0.195
S: 0.193 0.679 0.641
S: 0.693 0.641 0.679
S: 0.195 0.429 0.901
S: 0.695 0.901 0.429
S: 0.164 0.036 0.964
S: 0.668 0.216 0.784
S: 0.168 0.784 0.216
S: 0.664 0.964 0.036
S: 0.195 0.099 0.571
S: 0.695 0.571 0.099
S: 0.193 0.359 0.321
S: 0.693 0.321 0.359

As for the magnetic moment: 0.000 μB per cell. The uncorrected formation energy comes out at -174.55 kJ/mol of atoms. The calculation puts the total DFT energy (no corrections) at -5.792 eV/atom.

---

(17)
An optimized crystal structure of AcIn3S6, computed with PBE.

Unit cell a=3.964 b=11.556 c=11.525 alpha=115.45 beta=90.00 gamma=90.00
Fractional positions:
Ac: 0.750 0.074 0.722
Ac: 0.250 0.926 0.278
In: 0.750 0.475 0.814
In: 0.250 0.525 0.186
In: 0.750 0.714 0.482
In: 0.250 0.286 0.518
In: 0.750 0.168 0.111
In: 0.250 0.832 0.889
S: 0.750 0.446 0.586
S: 0.250 0.554 0.414
S: 0.750 0.920 0.073
S: 0.250 0.080 0.927
S: 0.750 0.378 0.067
S: 0.250 0.622 0.933
S: 0.750 0.711 0.248
S: 0.250 0.289 0.752
S: 0.750 0.103 0.465
S: 0.250 0.897 0.535
S: 0.750 0.799 0.735
S: 0.250 0.201 0.265

As for the magnetic moment: 0.000 μB per cell. The uncorrected formation energy comes out at -89.25 kJ/mol of atoms. The calculation puts the total DFT energy (no corrections) at -4.634 eV/atom.

---

(18)
An optimized crystal structure of Ac2InS3, computed with PBE.

Unit cell a=3.904 b=5.072 c=8.889 alpha=106.58 beta=102.68 gamma=90.00
Fractional positions:
Ac: 0.645 0.645 0.290
Ac: 0.355 0.355 0.710
In: 0.000 0.000 0.000
S: 0.000 0.500 0.000
S: 0.823 0.823 0.646
S: 0.177 0.177 0.354

As for the magnetic moment: 0.000 μB per cell. The uncorrected formation energy comes out at -141.95 kJ/mol of atoms. The calculation puts the total DFT energy (no corrections) at -5.361 eV/atom.

---

(19)
An optimized crystal structure of Ac2InS6, computed with PBE.

Unit cell a=4.851 b=7.589 c=7.515 alpha=120.32 beta=93.19 gamma=90.00
Fractional positions:
Ac: 0.707 0.670 0.340
Ac: 0.293 0.330 0.660
In: 0.000 0.000 0.000
S: 0.200 0.402 0.294
S: 0.800 0.109 0.706
S: 0.800 0.598 0.706
S: 0.500 0.247 0.000
S: 0.200 0.891 0.294
S: 0.500 0.753 0.000

As for the magnetic moment: 0.000 μB per cell. The uncorrected formation energy comes out at -109.77 kJ/mol of atoms. The calculation puts the total DFT energy (no corrections) at -5.107 eV/atom.